Entry from Alexandria: an optimized crystal structure of Dy2MgPb8 (PBE-GGA).

Structure (CIF):
```
data_Dy2MgPb8
_cell_length_a 4.8102
_cell_length_b 4.8102
_cell_length_c 14.0400
_cell_angle_alpha 90.00
_cell_angle_beta 90.00
_cell_angle_gamma 90.00
_symmetry_space_group_name_H-M 'P 4/m m m'
_symmetry_Int_Tables_number 123
_symmetry_space_group_name_Hall '-P 4 2'
loop_
_atom_site_label
_atom_site_type_symbol
_atom_site_fract_x
_atom_site_fract_y
_atom_site_fract_z
Dy1 Dy 0.0000 0.0000 0.1694
Mg1 Mg 0.0000 0.0000 0.5000
Pb1 Pb 0.0000 0.5000 0.0000
Pb2 Pb 0.0000 0.5000 0.3582
Pb3 Pb 0.5000 0.5000 0.1831
```

Values from the calculation:
E_form = -17.6 kJ/mol of atoms
Total magnetic moment = 0.00 μB/f.u.